Record 1
A plane-wave DFT calculation with PBE was carried out for crystalline AcNdHo4 at its relaxed geometry.

CIF file:
```
data_AcNdHo4
_chemical_formula_sum 'Ac4 Nd4 Ho16'
_cell_length_a 10.7437
_cell_length_b 13.3880
_cell_length_c 6.7260
_cell_angle_alpha 90.00
_cell_angle_beta 122.72
_cell_angle_gamma 90.00
_symmetry_space_group_name_H-M 'C 1 2/c 1'
_symmetry_Int_Tables_number 15
loop_
_symmetry_equiv_pos_as_xyz
'x,y,z'
'-x,-y,-z'
'-x,y,-z+1/2'
'x,-y,z+1/2'
'x+1/2,y+1/2,z'
'-x+1/2,-y+1/2,-z'
'-x+1/2,y+1/2,-z+1/2'
'x+1/2,-y+1/2,z+1/2'
loop_
_atom_site_label
_atom_site_type_symbol
_atom_site_fract_x
_atom_site_fract_y
_atom_site_fract_z
_atom_site_occupancy
Ac1 Ac 0.0000 0.0720 0.2500 1
Nd1 Nd 0.0000 0.1910 0.7500 1
Ho1 Ho 0.1582 0.4241 0.7420 1
Ho2 Ho 0.1640 0.3159 0.2467 1
```

total magnetic moment: 0.0 μB per cell
formation energy from the elements: 0.062 eV per atom
crystal system: monoclinic
electronic total energy: -107.26 eV for the cell shown
excess energy over the best structure of this formula in the dataset: 0 meV/atom

=====

Record 2
A plane-wave DFT calculation with PBE was carried out for crystalline Sr2GePdO at its relaxed geometry.

CIF file:
```
data_Sr2GePdO
_chemical_formula_sum 'Sr2 Ge1 Pd1 O1'
_cell_length_a 5.9552
_cell_length_b 5.9552
_cell_length_c 3.9591
_cell_angle_alpha 90.00
_cell_angle_beta 90.00
_cell_angle_gamma 90.00
_symmetry_space_group_name_H-M 'P 4/m m m'
_symmetry_Int_Tables_number 123
_symmetry_space_group_name_Hall '-P 4 2'
loop_
_atom_site_label
_atom_site_type_symbol
_atom_site_fract_x
_atom_site_fract_y
_atom_site_fract_z
_atom_site_occupancy
Sr1 Sr 0.0000 0.5000 0.0000 1
Ge1 Ge 0.0000 0.0000 0.0000 1
Pd1 Pd 0.5000 0.5000 0.5000 1
O1 O 0.0000 0.0000 0.5000 1
```

total magnetic moment: 0.0 μB per cell
crystal system: tetragonal
uncorrected formation energy: -0.3090 eV per atom
electronic total energy: -19.68 eV for the cell shown

=====

What is the electronic total energy in the first record?
-107.26 eV for the cell shown